## HfMnSb3 (GGA-PBE)

Data for crystalline HfMnSb3 at its relaxed geometry.

E above lowest polymorph (eV per atom): 0.0000
Volume (Å³/cell): 127.8
Energy relative to the elements, uncorrected (eV/atom): 0.58
SG: Pm-3m
Crystal system: cubic

abc: 5.0365 5.0365 5.0365
angles: 90.00 90.00 90.00
Closest atoms and distances in Å follow each position.
Positions (direct):
Sb1 0.5000 0.0000 0.0000  2 Mn 2.52
Sb2 0.0000 0.0000 0.5000  2 Mn 2.52
Sb3 0.0000 0.5000 0.0000  2 Mn 2.52
Hf1 0.5000 0.5000 0.5000  12 Sb 3.56
Mn1 0.0000 0.0000 0.0000  6 Sb 2.52

***

## GaTc3O (GGA-PBE)

Data for crystalline GaTc3O at its relaxed geometry.

E above lowest polymorph (eV per atom): 2.2086
Volume (Å³/cell): 102.8
Energy relative to the elements, uncorrected (eV/atom): 2.23
SG: Pm-3m
Crystal system: cubic

abc: 4.6843 4.6843 4.6843
angles: 90.00 90.00 90.00
Closest atoms and distances in Å follow each position.
Positions (direct):
O1 0.5000 0.5000 0.5000  12 Tc 3.31
Tc1 0.0000 0.5000 0.0000  2 Ga 2.34
Tc2 0.0000 0.0000 0.5000  2 Ga 2.34
Tc3 0.5000 0.0000 0.0000  2 Ga 2.34
Ga1 0.0000 0.0000 0.0000  6 Tc 2.34

***

## PmThP (GGA-PBE)

Data for crystalline PmThP at its relaxed geometry.

Formation energy (kJ per mole of atoms): -81.70
Volume (Å³/cell): 90.3
SG: P3m1
Crystal system: trigonal

abc: 6.6479 3.9594 3.9594
angles: 120.00 90.00 90.00
Closest atoms and distances in Å follow each position.
Positions (direct):
Th1 0.2552 0.3333 0.6667  3 P 2.85
Pm1 0.7461 0.6667 0.3333  3 P 2.84
P1 0.9987 0.0000 0.0000  3 Pm 2.84, 3 Th 2.85

***

## Mg2MoRu (GGA-PBE)

Data for crystalline Mg2MoRu at its relaxed geometry.

Formation energy (kJ per mole of atoms): 29.99
E above lowest polymorph (eV per atom): 0.3251
Volume (Å³/cell): 65.6
SG: R-3m
Crystal system: trigonal

abc: 9.4539 9.4539 9.4539
angles: 17.36 17.36 17.36
Closest atoms and distances in Å follow each position.
Positions (direct):
Mg1 0.4956 0.4956 0.4956  3 Ru 2.75, 6 Mg 2.85, 3 Mo 2.95
Mg2 0.0044 0.0044 0.0044  3 Ru 2.75, 6 Mg 2.85, 3 Mo 2.95
Mo1 0.2500 0.2500 0.2500  6 Mo 2.85, 6 Mg 2.95
Ru1 0.7500 0.7500 0.7500  6 Mg 2.75, 6 Ru 2.85

***

## PmEr8Hg2 (GGA-PBE)

Data for crystalline PmEr8Hg2 at its relaxed geometry.

Formation energy (kJ per mole of atoms): -4.29
Volume (Å³/cell): 333.1
SG: C2/m
Crystal system: monoclinic

abc: 5.4924 8.5704 8.5704
angles: 118.35 100.22 100.22
Closest atoms and distances in Å follow each position.
Positions (direct):
Er1 0.1088 0.0916 0.3217  2 Hg 3.06-3.30, 2 Er 3.39-3.41
Er2 0.8912 0.6783 0.9084  2 Hg 3.06-3.30, 2 Er 3.39-3.41
Er3 0.5000 0.2264 0.7736  2 Hg 2.99, 1 Pm 3.33
Er4 0.2979 0.5996 0.5996  2 Er 3.13-3.27, 2 Hg 3.25, 1 Pm 3.30
Er5 0.7021 0.4004 0.4004  2 Er 3.13-3.27, 2 Hg 3.25, 1 Pm 3.30
Er6 0.5000 0.7736 0.2264  2 Hg 2.99, 1 Pm 3.33
Er7 0.8912 0.9084 0.6783  2 Hg 3.06-3.30, 2 Er 3.39-3.41
Er8 0.1088 0.3217 0.0916  2 Hg 3.06-3.30, 2 Er 3.39-3.41
Hg1 0.0000 0.3068 0.6932  8 Er 2.99-3.30
Hg2 0.0000 0.6932 0.3068  8 Er 2.99-3.30
Pm1 0.5000 0.0000 0.0000  12 Er 3.30-3.67

***

## Pm4AlCd2 (GGA-PBE)

Data for crystalline Pm4AlCd2 at its relaxed geometry.

Formation energy (kJ per mole of atoms): -16.11
Volume (Å³/cell): 208.0
SG: R-3m
Crystal system: trigonal

abc: 5.3027 5.3027 9.0735
angles: 73.01 73.01 60.00
Closest atoms and distances in Å follow each position.
Positions (direct):
Pm1 0.6205 0.6205 0.1385  4 Cd 3.18-3.22, 3 Al 3.28
Pm2 0.3795 0.3795 0.8615  4 Cd 3.18-3.22, 3 Al 3.28
Pm3 0.1274 0.1274 0.6178  4 Cd 3.24-3.30, 1 Al 3.26
Pm4 0.8726 0.8726 0.3822  4 Cd 3.24-3.30, 1 Al 3.26
Al1 0.0000 0.0000 0.0000  8 Pm 3.26-3.28
Cd1 0.2538 0.2538 0.2386  8 Pm 3.18-3.30
Cd2 0.7462 0.7462 0.7614  8 Pm 3.18-3.30

***

Among the records above, which one has the highest volume?
PmEr8Hg2